[1]
## GdTe2 (PBE)

Data for a relaxed structure of GdTe2.

The total energy comes out at -87.74 eV/cell.

The space group is Fd-3m (No. 227, origin choice 2) and the conventional cell measures 9.004, 9.004 and 9.004 Å, with angles of 90.00, 90.00 and 90.00 degrees. Symmetry generates all atoms from Gd at (0.125, 0.125, 0.125) and Te at (0.000, 0.000, 0.500).



[2]
## Bi4Ir (PBE)

Data for a relaxed structure of Bi4Ir.

The total energy comes out at -677.24 eV/cell.

The space group is R-3m (No. 166, hexagonal axes) and the conventional cell measures 26.4780, 26.4780 and 7.1107 Å, with angles of 90.00, 90.00 and 120.00 degrees. Symmetry generates all atoms from Bi at (0.0479, 0.4609, 0.2874), Bi at (0.0557, 0.1113, 0.3278), Bi at (0.0597, 0.2367, 0.1818), Bi at (0.0869, 0.1738, 0.7557), Ir at (0.0000, 0.1689, 0.5000) and Ir at (0.0000, 0.5000, 0.0000).



[3]
## KDyScSe3 (PBE)

Data for a relaxed structure of KDyScSe3.

The total energy comes out at -127.59 eV/cell.

The space group is Cmcm (No. 63) and the conventional cell measures 4.304, 15.073 and 11.105 Å, with angles of 90.00, 90.00 and 90.00 degrees. Symmetry generates all atoms from K at (0.000, 0.242, 0.250), Dy at (0.000, 0.500, 0.000), Sc at (0.000, 0.034, 0.750), Se at (0.000, 0.126, 0.557) and Se at (0.000, 0.436, 0.750).



[4]
## SmAgSnO3 (PBE)

Data for a relaxed structure of SmAgSnO3.

The total energy comes out at -149.53 eV/cell.

The space group is Cmcm (No. 63) and the conventional cell measures 3.605, 13.436 and 8.372 Å, with angles of 90.00, 90.00 and 90.00 degrees. Symmetry generates all atoms from Sm at (0.000, 0.000, 0.000), Ag at (0.000, 0.335, 0.250), Sn at (0.000, 0.331, 0.750), O at (0.000, 0.075, 0.250) and O at (0.000, 0.389, 0.001).



[5]
## KIn2Pt2 (PBE)

Data for a relaxed structure of KIn2Pt2.

The total energy comes out at -41.09 eV/cell.

The space group is I4/mmm (No. 139) and the conventional cell measures 4.669, 4.669 and 11.214 Å, with angles of 90.00, 90.00 and 90.00 degrees. Symmetry generates all atoms from K at (0.000, 0.000, 0.000), In at (0.000, 0.500, 0.250) and Pt at (0.000, 0.000, 0.382).



[6]
## BaNbCuNi (PBE)

Data for a relaxed structure of BaNbCuNi.

The total energy comes out at -71.48 eV/cell. Its polymorph energy (0 for the lowest one) is 0.267 eV per formula unit.

The space group is F-43m (No. 216) and the conventional cell measures 6.695, 6.695 and 6.695 Å, with angles of 90.00, 90.00 and 90.00 degrees. Symmetry generates all atoms from Ba at (0.000, 0.000, 0.000), Nb at (0.250, 0.250, 0.750), Cu at (0.250, 0.250, 0.250) and Ni at (0.000, 0.000, 0.500).



[7]
## LuH (PBE)

Data for a relaxed structure of LuH.

The total energy comes out at -33.90 eV/cell.

The space group is Fm-3m (No. 225) and the conventional cell measures 4.775, 4.775 and 4.775 Å, with angles of 90.00, 90.00 and 90.00 degrees. Symmetry generates all atoms from Lu at (0.000, 0.000, 0.000) and H at (0.000, 0.000, 0.500).



[8]
## Be2ReGe (PBE)

Data for a relaxed structure of Be2ReGe.

The total energy comes out at -90.76 eV/cell.

The space group is F-43m (No. 216) and the conventional cell measures 5.800, 5.800 and 5.800 Å, with angles of 90.00, 90.00 and 90.00 degrees. Symmetry generates all atoms from Be at (0.000, 0.000, 0.000), Be at (0.250, 0.250, 0.250), Re at (0.250, 0.250, 0.750) and Ge at (0.000, 0.000, 0.500).



[9]
## Rb2NaCdBr6 (PBE)

Data for a relaxed structure of Rb2NaCdBr6.

The total energy comes out at -52.01 eV/cell.

The space group is I4/m (No. 87) and the conventional cell measures 7.708, 7.708 and 11.611 Å, with angles of 90.00, 90.00 and 90.00 degrees. Symmetry generates all atoms from Rb at (0.000, 0.500, 0.250), Na at (0.000, 0.000, 0.000), Cd at (0.000, 0.000, 0.500), Br at (0.000, 0.000, 0.257) and Br at (0.176, 0.686, 0.500).



[10]
## LuCoBiPt (PBE)

Data for a relaxed structure of LuCoBiPt.

The total energy comes out at -92.25 eV/cell. Its polymorph energy (0 for the lowest one) is 0.000 eV per formula unit.

The space group is F-43m (No. 216) and the conventional cell measures 6.735, 6.735 and 6.735 Å, with angles of 90.00, 90.00 and 90.00 degrees. Symmetry generates all atoms from Lu at (0.000, 0.000, 0.000), Co at (0.250, 0.250, 0.750), Bi at (0.000, 0.000, 0.500) and Pt at (0.250, 0.250, 0.250).



[11]
## Pr2P2AuO (PBE)

Data for a relaxed structure of Pr2P2AuO.

The total energy comes out at -154.06 eV/cell.

The space group is C2/m (No. 12) and the conventional cell measures 15.279, 4.260 and 10.007 Å, with angles of 90.00, 130.85 and 90.00 degrees. Symmetry generates all atoms from Pr at (0.132, 0.000, 0.453), Pr at (0.172, 0.000, 0.114), P at (0.049, 0.500, 0.144), P at (0.147, 0.000, 0.767), Au at (0.089, 0.500, 0.802) and O at (0.221, 0.500, 0.573).



[12]
## Ho4AlFe2Ge4 (PBE)

Data for a relaxed structure of Ho4AlFe2Ge4.

The total energy comes out at -128.84 eV/cell.

The space group is C2/m (No. 12) and the conventional cell measures 15.243, 4.209 and 6.883 Å, with angles of 90.00, 106.69 and 90.00 degrees. Symmetry generates all atoms from Ho at (0.090, 0.000, 0.386), Ho at (0.151, 0.000, 0.941), Al at (0.000, 0.500, 0.000), Fe at (0.221, 0.500, 0.629), Ge at (0.067, 0.500, 0.664) and Ge at (0.206, 0.500, 0.271).



[13]
## Li2Zn2Te5 (PBE)

Data for a relaxed structure of Li2Zn2Te5.

The total energy comes out at -103.51 eV/cell.

The space group is P2_1/c (No. 14) and the conventional cell measures 12.212, 7.637 and 12.283 Å, with angles of 90.00, 114.19 and 90.00 degrees. Symmetry generates all atoms from Li at (0.119, 0.079, 0.012), Li at (0.363, 0.121, 0.479), Zn at (0.086, 0.656, 0.859), Zn at (0.319, 0.630, 0.687), Te at (0.096, 0.724, 0.076), Te at (0.103, 0.190, 0.314), Te at (0.296, 0.207, 0.225), Te at (0.321, 0.744, 0.974) and Te at (0.469, 0.665, 0.352).



[14]
## PuMgMo (PBE)

Data for a relaxed structure of PuMgMo.

The total energy comes out at -97.55 eV/cell. Its polymorph energy (0 for the lowest one) is 0.000 eV per formula unit.

The space group is F-43m (No. 216) and the conventional cell measures 6.381, 6.381 and 6.381 Å, with angles of 90.00, 90.00 and 90.00 degrees. Symmetry generates all atoms from Pu at (0.000, 0.000, 0.000), Mg at (0.000, 0.000, 0.500) and Mo at (0.250, 0.250, 0.750).



[15]
## MgCoAsOs (PBE)

Data for a relaxed structure of MgCoAsOs.

The total energy comes out at -95.70 eV/cell. Its polymorph energy (0 for the lowest one) is 0.000 eV per formula unit.

The space group is F-43m (No. 216) and the conventional cell measures 6.012, 6.012 and 6.012 Å, with angles of 90.00, 90.00 and 90.00 degrees. Symmetry generates all atoms from Mg at (0.000, 0.000, 0.000), Co at (0.250, 0.250, 0.750), As at (0.000, 0.000, 0.500) and Os at (0.250, 0.250, 0.250).



[16]
## Hf4Nb2Tl3N3 (PBE)

Data for a relaxed structure of Hf4Nb2Tl3N3.

The total energy comes out at -404.61 eV/cell.

The space group is C2/c (No. 15) and the conventional cell measures 9.746, 5.646 and 14.981 Å, with angles of 90.00, 102.37 and 90.00 degrees. Symmetry generates all atoms from Hf at (0.110, 0.091, 0.083), Hf at (0.226, 0.080, 0.417), Nb at (0.052, 0.422, 0.921), Tl at (0.000, 0.091, 0.750), Tl at (0.163, 0.423, 0.253), N at (0.089, 0.234, 0.500) and N at (0.250, 0.250, 0.000).



[17]
## Sr2ScZn (PBE)

Data for a relaxed structure of Sr2ScZn.

The total energy comes out at -39.27 eV/cell.

The space group is F-43m (No. 216) and the conventional cell measures 7.916, 7.916 and 7.916 Å, with angles of 90.00, 90.00 and 90.00 degrees. Symmetry generates all atoms from Sr at (0.000, 0.000, 0.000), Sr at (0.250, 0.250, 0.250), Sc at (0.000, 0.000, 0.500) and Zn at (0.250, 0.250, 0.750).



[18]
## Zr2Co3Ge2 (PBE)

Data for a relaxed structure of Zr2Co3Ge2.

The total energy comes out at -153.96 eV/cell.

The space group is R3m (No. 160, hexagonal axes) and the conventional cell measures 4.2167, 4.2167 and 20.7166 Å, with angles of 90.00, 90.00 and 120.00 degrees. Symmetry generates all atoms from Zr at (0.0000, 0.0000, 0.0000), Zr at (0.0000, 0.0000, 0.4892), Co at (0.0000, 0.0000, 0.3665), Co at (0.0000, 0.0000, 0.6166), Co at (0.0000, 0.0000, 0.8726), Ge at (0.0000, 0.0000, 0.2419) and Ge at (0.0000, 0.0000, 0.7457).



[19]
## DyFeHg (PBE)

Data for a relaxed structure of DyFeHg.

The total energy comes out at -45.08 eV/cell. The value obtained for the formation energy from the elements is 0.646 eV per atom.

The space group is F-43m (No. 216) and the conventional cell measures 6.759, 6.759 and 6.759 Å, with angles of 90.00, 90.00 and 90.00 degrees. Symmetry generates all atoms from Dy at (0.000, 0.000, 0.000), Fe at (0.250, 0.250, 0.750) and Hg at (0.250, 0.250, 0.250).



[20]
## NbSn2Au (PBE)

Data for a relaxed structure of NbSn2Au.

The total energy comes out at -79.66 eV/cell.

The space group is F-43m (No. 216) and the conventional cell measures 7.028, 7.028 and 7.028 Å, with angles of 90.00, 90.00 and 90.00 degrees. Symmetry generates all atoms from Nb at (0.000, 0.000, 0.000), Sn at (0.000, 0.000, 0.500), Sn at (0.250, 0.250, 0.750) and Au at (0.250, 0.250, 0.250).